Record 1
First-principles (PBE) data for a geometry-optimized K2LiAl3Sn4 structure, as listed in Alexandria via LeMat-Bulk.

a = 4.8133 Å, b = 4.8133 Å, c = 11.6825 Å
α = 90.00°, β = 90.00°, γ = 90.00°
With the nearest neighbours (Å) after each atom.
Element x y z (fractional)
K 0.0000 0.5000 0.2445  8 Sn 3.66-3.83, 6 Al 3.68-3.74, 2 Li 3.74
K 0.5000 0.0000 0.7555  8 Sn 3.66-3.83, 6 Al 3.68-3.74, 2 Li 3.74
Li 0.5000 0.5000 0.0000  4 Sn 2.84
Al 0.0000 0.0000 0.0000  4 Sn 2.84
Al 0.0000 0.5000 0.6367  5 Sn 2.73-2.89
Al 0.5000 0.0000 0.3633  5 Sn 2.73-2.89
Sn 0.0000 0.0000 0.5000  4 Al 2.89
Sn 0.0000 0.5000 0.8702  3 Al 2.73-2.84, 2 Li 2.84
Sn 0.5000 0.0000 0.1298  3 Al 2.73-2.84, 2 Li 2.84
Sn 0.5000 0.5000 0.5000  4 Al 2.89

Results
Space group = P-4m2, No. 115
Energy of formation = -0.132 eV/atom
ρ = 3.93 g/cm3

---

Record 2
First-principles (PBE) data for a geometry-optimized KLiAl2Te4 structure, as listed in Alexandria via LeMat-Bulk.

a = 7.0768 Å, b = 8.5139 Å, c = 9.2299 Å
α = 90.00°, β = 90.00°, γ = 90.00°
With the nearest neighbours (Å) after each atom.
Element x y z (fractional)
K 0.0000 0.0000 0.0000  8 Te 3.66-3.76
K 0.5000 0.5000 0.5000  8 Te 3.66-3.76
Li 0.0000 0.0000 0.5000  4 Te 2.79
Li 0.5000 0.5000 0.0000  4 Te 2.79
Al 0.0000 0.5000 0.1637  2 Te 2.49
Al 0.0000 0.5000 0.8363  2 Te 2.49
Al 0.5000 0.0000 0.3363  2 Te 2.49
Al 0.5000 0.0000 0.6637  2 Te 2.49
Te 0.2295 0.1872 0.3243  1 Al 2.49
Te 0.2295 0.8128 0.6757  1 Al 2.49
Te 0.2705 0.3128 0.8243  1 Al 2.49
Te 0.2705 0.6872 0.1757  1 Al 2.49
Te 0.7295 0.3128 0.1757  1 Al 2.49
Te 0.7295 0.6872 0.8243  1 Al 2.49
Te 0.7705 0.1872 0.6757  1 Al 2.49
Te 0.7705 0.8128 0.3243  1 Al 2.49

Results
Space group = I222, No. 23
ρ = 3.65 g/cm3
Energy relative to the elements, uncorrected = -0.399 eV per atom

---

Record 3
First-principles (PBE) data for a geometry-optimized KLiAl2V structure, as listed in Alexandria via LeMat-Bulk.

a = 4.7649 Å, b = 4.7649 Å, c = 4.7977 Å
α = 90.00°, β = 90.00°, γ = 90.00°
With the nearest neighbours (Å) after each atom.
Element x y z (fractional)
K 0.0000 0.0000 0.0000  2 Li 2.40
Li 0.0000 0.0000 0.5000  4 Al 2.38, 2 K 2.40
Al 0.0000 0.5000 0.5000  2 Li 2.38
Al 0.5000 0.0000 0.5000  2 Li 2.38
V 0.5000 0.5000 0.0000  4 K 3.37, 8 Al 3.38

Results
Space group = P4/mmm, No. 123
Energy of formation = 1.138 eV/atom
ρ = 2.30 g/cm3

---

Record 4
First-principles (PBE) data for a geometry-optimized KMgAl2 structure, as listed in Alexandria via LeMat-Bulk.

a = 5.2619 Å, b = 5.2619 Å, c = 19.8504 Å
α = 90.00°, β = 90.00°, γ = 90.00°
With the nearest neighbours (Å) after each atom.
Element x y z (fractional)
K 0.0000 0.0000 0.0000  4 Mg 3.72, 8 Al 3.78-3.92
K 0.0000 0.5000 0.2500  4 Mg 3.72, 8 Al 3.78-3.92
K 0.5000 0.0000 0.7500  4 Mg 3.72, 8 Al 3.78-3.92
K 0.5000 0.5000 0.5000  4 Mg 3.72, 8 Al 3.78-3.92
Mg 0.0000 0.0000 0.5000  4 Al 2.81
Mg 0.0000 0.5000 0.7500  4 Al 2.81
Mg 0.5000 0.0000 0.2500  4 Al 2.81
Mg 0.5000 0.5000 0.0000  4 Al 2.81
Al 0.0194 0.2500 0.6250  2 Al 2.64, 2 Mg 2.81
Al 0.2500 0.5194 0.8750  2 Al 2.64, 2 Mg 2.81
Al 0.2500 0.9806 0.3750  2 Al 2.64, 2 Mg 2.81
Al 0.4806 0.2500 0.1250  2 Al 2.64, 2 Mg 2.81
Al 0.5194 0.7500 0.1250  2 Al 2.64, 2 Mg 2.81
Al 0.7500 0.0194 0.3750  2 Al 2.64, 2 Mg 2.81
Al 0.7500 0.4806 0.8750  2 Al 2.64, 2 Mg 2.81
Al 0.9806 0.7500 0.6250  2 Al 2.64, 2 Mg 2.81

Results
Space group = I-42d, No. 122
Energy of formation = 0.413 eV/atom
ρ = 1.42 g/cm3